The following is a PBE calculation of a geometry-optimized Mg4AlB10 structure, from Alexandria via LeMat-Bulk.

The structure in CIF format:
```
data_Mg4AlB10
_symmetry_space_group_name_H-M 'P 6/m m m'
_symmetry_Int_Tables_number 191
_symmetry_space_group_name_Hall '-P 6 2'
_cell_length_a 3.0597
_cell_length_b 3.0597
_cell_length_c 17.3324
_cell_angle_alpha 90.00
_cell_angle_beta 90.00
_cell_angle_gamma 120.00
loop_
_atom_site_label
_atom_site_fract_x
_atom_site_fract_y
_atom_site_fract_z
Mg1 0.0000 0.0000 0.1018
Mg2 0.0000 0.0000 0.3035
Al1 0.0000 0.0000 0.5000
B1 0.3333 0.6667 0.0000
B2 0.3333 0.6667 0.2037
B3 0.3333 0.6667 0.4090
```

Electronic total energy in eV/cell: -79.00
Energy relative to the elements in meV per atom: -141
N(E_F) in states/eV per atom: 0.239
Density in g/cm³: 2.745
Total magnetization in Bohr magnetons per cell: 0.00